Entry 1:
SmIrSe | PBE-GGA | optimized geometry

abc: 10.6934 3.8787 3.8787
angles: 58.31 90.00 90.00
Fractional coordinates of all 6 atoms:
Sm 0.1704 0.0000 0.0000
Sm 0.8296 0.0000 0.0000
Ir 0.0000 0.6705 0.6705
Ir 0.5000 0.9689 0.9689
Se 0.3631 0.6674 0.6674
Se 0.6369 0.6674 0.6674

Results
- Formation energy (no corrections): -0.399 eV/atom
- Total magnetic moment: 0.00 μB per formula unit

---

Entry 2:
InTeSe | PBE-GGA | optimized geometry

abc: 4.3180 5.5732 7.6310
angles: 90.00 90.00 90.00
Fractional coordinates of all 6 atoms:
In 0.2500 0.2500 0.1458
In 0.7500 0.7500 0.8542
Te 0.2500 0.2500 0.5094
Te 0.7500 0.7500 0.4906
Se 0.2500 0.7500 0.0663
Se 0.7500 0.2500 0.9337

Results
- Formation energy (no corrections): -0.276 eV/atom
- Energy above the most stable polymorph in this dataset: 18 meV per atom
- Total magnetic moment: 0.00 μB per formula unit

---

Entry 3:
AcPr2ReN4 | PBE-GGA | optimized geometry

abc: 6.4443 6.4443 12.4065
angles: 90.00 90.00 147.33
Fractional coordinates of all 16 atoms:
Ac 0.0826 0.9174 0.7500
Ac 0.9174 0.0826 0.2500
Pr 0.3685 0.6315 0.5417
Pr 0.3685 0.6315 0.9583
Pr 0.6315 0.3685 0.0417
Pr 0.6315 0.3685 0.4583
Re 0.1737 0.8263 0.2500
Re 0.8263 0.1737 0.7500
N 0.0000 0.0000 0.0000
N 0.0000 0.0000 0.5000
N 0.2647 0.7353 0.1265
N 0.2647 0.7353 0.3735
N 0.4114 0.5886 0.7500
N 0.5886 0.4114 0.2500
N 0.7353 0.2647 0.6265
N 0.7353 0.2647 0.8735

Results
- Formation energy (no corrections): -0.826 eV/atom
- Total magnetic moment: 0.00 μB per formula unit

---

Entry 4:
PuZr2Tc | PBE-GGA | optimized geometry

abc: 4.8540 4.8540 4.8540
angles: 60.00 60.00 60.00
Fractional coordinates of all 4 atoms:
Pu 0.0000 0.0000 0.0000
Zr 0.2500 0.2500 0.2500
Zr 0.7500 0.7500 0.7500
Tc 0.5000 0.5000 0.5000

Results
- Formation enthalpy at 0 K: 0.089 eV/atom
- Energy above the most stable polymorph in this dataset: 201 meV per atom
- Total magnetic moment: 5.12 μB per formula unit

---

Entry 5:
B2Ru | PBE-GGA | optimized geometry

abc: 3.9435 3.9435 3.9435
angles: 139.14 139.14 59.15
Fractional coordinates of all 3 atoms:
B 0.1758 0.1758 0.0000
B 0.8242 0.8242 0.0000
Ru 0.5000 0.5000 0.0000

Results
- Formation enthalpy at 0 K: 0.106 eV/atom
- Total magnetic moment: 0.00 μB per formula unit

---

Entry 6:
MnAsRh | PBE-GGA | optimized geometry

abc: 5.3109 5.3109 5.3109
angles: 146.61 146.61 47.94
Fractional coordinates of all 3 atoms:
Mn 0.0000 0.0000 0.0000
As 0.6739 0.6739 0.0000
Rh 0.3230 0.3230 0.0000

Results
- Formation enthalpy at 0 K: -0.103 eV/atom
- Total magnetic moment: 4.05 μB per formula unit

---

Entry 7:
SiSnS2N | PBE-GGA | optimized geometry

abc: 4.8737 4.8737 3.4105
angles: 90.00 90.00 90.00
Fractional coordinates of all 5 atoms:
Si 0.0000 0.0000 0.0000
Sn 0.5000 0.5000 0.5000
S 0.0000 0.5000 0.0000
S 0.5000 0.0000 0.0000
N 0.0000 0.0000 0.5000

Results
- Formation energy (no corrections): 0.045 eV/atom
- Energy above the most stable polymorph in this dataset: 375 meV per atom
- Total magnetic moment: 0.00 μB per formula unit

---

Entry 8:
Y8ErSc3 | PBE-GGA | optimized geometry

abc: 8.2913 8.2913 8.2913
angles: 99.47 96.41 136.37
Fractional coordinates of all 12 atoms:
Y 0.0000 0.1617 0.1617
Y 0.0000 0.8383 0.8383
Y 0.4085 0.4917 0.5890
Y 0.4085 0.8195 0.9168
Y 0.4956 0.1597 0.6641
Y 0.4956 0.8315 0.3359
Y 0.9027 0.4917 0.0832
Y 0.9027 0.8195 0.4110
Er 0.9870 0.4870 0.5000
Sc 0.4113 0.1630 0.2483
Sc 0.4877 0.4877 0.0000
Sc 0.9146 0.1630 0.7517

Results
- Formation enthalpy at 0 K: 0.021 eV/atom
- Total magnetic moment: 0.00 μB per formula unit